DFT (PBE) results for a relaxed Zn2CrIn crystal.

Calculated values
* total magnetization: 0.919 μB per atom
* crystal system: cubic
* energy relative to the elements: 256 meV per atom

Geometry as POSCAR:
```
Zn2CrIn
1.0
4.5766 0.0000 0.0000
2.2883 3.9634 0.0000
2.2883 1.3211 3.7368
Cr In Zn
1 1 2
direct
0.5000 0.5000 0.5000
0.7500 0.7500 0.7500
0.0000 0.0000 0.0000
0.2500 0.2500 0.2500
```



DFT (PBE) results for a relaxed K2UCl4 crystal.

Calculated values
* total magnetization: 0.560 μB per atom
* crystal system: tetragonal

Geometry as POSCAR:
```
K2UCl4
1.0
-1.5016 2.9844 4.3357
2.8470 -3.3317 3.2794
7.2234 4.4944 2.8630
K U Cl
2 1 4
direct
0.6381 0.6381 0.7237
0.3619 0.3619 0.2763
0.0000 0.0000 0.0000
0.8279 0.8279 0.3443
0.1721 0.1721 0.6557
0.0000 0.5000 0.0000
0.5000 0.0000 0.0000
```



DFT (PBE) results for a relaxed AcLaPm2H crystal.

Calculated values
* total magnetization: 0.000 μB per atom
* crystal system: tetragonal

Geometry as POSCAR:
```
AcLaPm2H
1.0
-4.7130 -2.1472 -0.9941
2.2355 -3.3125 -3.4437
0.7778 -3.4990 3.8706
Ac La Pm H
1 1 2 1
direct
0.5000 0.5000 0.5000
0.5000 0.0000 0.0000
0.0000 0.0000 0.5000
0.0000 0.5000 0.0000
0.0000 0.0000 0.0000
```



DFT (PBE) results for a relaxed PmSm3Dy2P6 crystal.

Calculated values
* total magnetization: 0.000 μB per atom
* crystal system: monoclinic
* energy relative to the elements: -1580 meV per atom

Geometry as POSCAR:
```
PmSm3Dy2P6
1.0
-1.1907 4.2594 -5.5077
-1.6929 -6.8461 -0.3996
-5.1154 2.2257 4.3360
Pm Sm Dy P
1 3 2 6
direct
0.0000 0.0000 0.0000
0.1659 0.8341 0.5000
0.8341 0.1659 0.5000
0.5000 0.5000 0.5000
0.3331 0.6669 0.0000
0.6669 0.3331 0.0000
0.9178 0.5805 0.7534
0.7446 0.7446 0.2460
0.0822 0.4195 0.2466
0.5805 0.9178 0.7534
0.2554 0.2554 0.7540
0.4195 0.0822 0.2466
```



| no. | E (eV per atom) |
| --- | --- |
| 1 | -3.472 |
| 2 | -4.480 |
| 3 | -4.545 |
| 4 | -6.628 |